Below is a geometry-optimized GaWNF2 structure, with properties calculated at the PBE+U level.

Lattice parameters (Å, degrees): 5.0302 5.0302 3.3307 90.00 90.00 90.00
Space group P4/mmm (No. 123)
Asymmetric unit:
Ga1 0.0000 0.0000 0.0000 [1 per cell]
W1 0.5000 0.5000 0.0000 [1 per cell]
N1 0.0000 0.0000 0.5000 [1 per cell]
F1 0.0000 0.5000 0.5000 [2 per cell]

Properties
calculated total energy: -4.0893 eV per atom
magnetic moment: 4.8 Bohr magnetons per cell
N(E_F): 0.461 states/eV per atom
ΔE to the lowest computed polymorph: 1377 meV per atom
crystal system: tetragonal